No. 1
# K3InGe

A geometry-optimized K3InGe structure (PBE-GGA, the Alexandria database).

Summary:
E above lowest polymorph = 0.000 kcal/mol of atoms
Total moment = 0.0 μB/f.u.

```
data_K3InGe
_chemical_formula_sum 'K12 In4 Ge4'
_space_group_name_H-M_alt 'I m a 2'
_space_group_IT_number 46
_cell_length_a 11.459
_cell_length_b 7.934
_cell_length_c 9.242
_cell_angle_alpha 90.00
_cell_angle_beta 90.00
_cell_angle_gamma 90.00
loop_
_space_group_symop_operation_xyz
'x,y,z'
'-x,-y,z'
'-x+1/2,y,z'
'x+1/2,-y,z'
'x+1/2,y+1/2,z+1/2'
'-x+1/2,-y+1/2,z+1/2'
'-x,y+1/2,z+1/2'
'x,-y+1/2,z+1/2'
loop_
_atom_site_label
_atom_site_type_symbol
_atom_site_fract_x
_atom_site_fract_y
_atom_site_fract_z
K1 K 0.040 0.226 0.000
K2 K 0.250 0.007 0.294
In1 In 0.250 0.576 0.176
Ge1 Ge 0.250 0.631 0.465
```



No. 2
# CaY2TcN4

A geometry-optimized CaY2TcN4 structure (PBE-GGA, the Alexandria database).

Summary:
Energy relative to the elements, uncorrected = -7.66 eV per formula unit
Total moment = 0.0 μB/f.u.

```
data_CaY2TcN4
_chemical_formula_sum 'Ca4 Y8 Tc4 N16'
_space_group_name_H-M_alt 'C m c m'
_space_group_IT_number 63
_space_group_name_Hall '-C 2c 2'
_cell_length_a 3.450
_cell_length_b 11.777
_cell_length_c 11.740
_cell_angle_alpha 90.00
_cell_angle_beta 90.00
_cell_angle_gamma 90.00
loop_
_atom_site_label
_atom_site_type_symbol
_atom_site_fract_x
_atom_site_fract_y
_atom_site_fract_z
Ca1 Ca 0.000 0.117 0.250
Y1 Y 0.000 0.369 0.036
Tc1 Tc 0.000 0.150 0.750
N1 N 0.000 0.000 0.000
N2 N 0.000 0.259 0.625
N3 N 0.000 0.431 0.250
```



No. 3
# CdWCl2

A geometry-optimized CdWCl2 structure (PBE-GGA, the Alexandria database).

Summary:
Energy relative to the elements, uncorrected = 3.77 eV per formula unit
E above lowest polymorph = 23.433 kcal/mol of atoms
Total moment = 3.5 μB/f.u.

```
data_CdWCl2
_chemical_formula_sum 'Cd1 W1 Cl2'
_space_group_name_H-M_alt 'P 4/m m m'
_space_group_IT_number 123
_space_group_name_Hall '-P 4 2'
_cell_length_a 4.451
_cell_length_b 4.451
_cell_length_c 4.184
_cell_angle_alpha 90.00
_cell_angle_beta 90.00
_cell_angle_gamma 90.00
loop_
_atom_site_label
_atom_site_type_symbol
_atom_site_fract_x
_atom_site_fract_y
_atom_site_fract_z
Cd1 Cd 0.000 0.000 0.000
W1 W 0.500 0.500 0.000
Cl1 Cl 0.000 0.500 0.500
```



What is the formula in the first record? K3InGe



Copy entry 3 word for word.
# CdWCl2

A geometry-optimized CdWCl2 structure (PBE-GGA, the Alexandria database).

Summary:
Energy relative to the elements, uncorrected = 3.77 eV per formula unit
E above lowest polymorph = 23.433 kcal/mol of atoms
Total moment = 3.5 μB/f.u.

```
data_CdWCl2
_chemical_formula_sum 'Cd1 W1 Cl2'
_space_group_name_H-M_alt 'P 4/m m m'
_space_group_IT_number 123
_space_group_name_Hall '-P 4 2'
_cell_length_a 4.451
_cell_length_b 4.451
_cell_length_c 4.184
_cell_angle_alpha 90.00
_cell_angle_beta 90.00
_cell_angle_gamma 90.00
loop_
_atom_site_label
_atom_site_type_symbol
_atom_site_fract_x
_atom_site_fract_y
_atom_site_fract_z
Cd1 Cd 0.000 0.000 0.000
W1 W 0.500 0.500 0.000
Cl1 Cl 0.000 0.500 0.500
```